No. 1
Material: Hf2CrB
Method: DFT, SCAN
State: single point on PBEsol structure Values from VASP.

```
&SYSTEM
  ibrav = 0, nat = 8, ntyp = 3
/
ATOMIC_SPECIES
Cr 52.00 Cr.upf
B 10.81 B.upf
Hf 178.49 Hf.upf
ATOMIC_POSITIONS crystal
Cr 0.0000 0.0000 0.0000
Cr 0.7500 0.5000 0.5000
B 0.5000 0.0000 0.0000
B 0.2500 0.5000 0.5000
Hf 0.4780 0.1470 0.6470
Hf 0.2720 0.8530 0.3530
Hf 0.3750 0.3530 0.1470
Hf 0.8750 0.6470 0.8530
CELL_PARAMETERS angstrom
-1.6038 -2.4800 -2.5190
1.3379 -5.7988 1.8664
-5.7574 -1.3370 1.9911
```

Results
* SG: I-42d (122)
* formation energy from the elements: 0.25 eV per atom
* V: 136 Å³/cell

=====

No. 2
Material: BaCaAl2
Method: DFT, SCAN
State: single point on PBEsol structure Values from VASP.

```
&SYSTEM
  ibrav = 0, nat = 4, ntyp = 3
/
ATOMIC_SPECIES
Ca 40.08 Ca.upf
Ba 137.33 Ba.upf
Al 26.98 Al.upf
ATOMIC_POSITIONS crystal
Ca 0.5000 0.5000 0.8244
Ba 0.0000 0.0000 0.4450
Al 0.0000 0.0000 0.0496
Al 0.5000 0.5000 0.1810
CELL_PARAMETERS angstrom
3.6164 0.0000 0.0000
0.0000 3.6164 0.0000
0.0000 0.0000 9.1858
```

Results
* SG: P4mm (99)
* formation energy from the elements: -0.02 eV per atom
* V: 120 Å³/cell
* excess energy over the best structure of this formula in the dataset: 143 meV per atom

=====

No. 3
Material: Be2CrCu
Method: DFT, SCAN
State: single point on PBEsol structure Values from VASP.

```
&SYSTEM
  ibrav = 0, nat = 4, ntyp = 3
/
ATOMIC_SPECIES
Cr 52.00 Cr.upf
Cu 63.55 Cu.upf
Be 9.01 Be.upf
ATOMIC_POSITIONS crystal
Cr 0.5446 0.0000 0.4629
Cu 0.2089 0.5000 0.7920
Be 0.8062 0.0000 0.9900
Be 0.9403 0.5000 0.2551
CELL_PARAMETERS angstrom
2.3916 0.0000 -0.0190
0.0000 3.6157 0.0000
-1.1641 0.0000 4.4379
```

Results
* SG: Amm2 (38)
* formation energy from the elements: 0.06 eV per atom
* V: 38 Å³/cell